(1)
LiMgAl2 at its PBEsol-relaxed geometry. Source: Alexandria via LeMat-Bulk, functional SCAN.

Values from the calculation:
Space-group type = No. 65
Total magnetic moment = 0.000 μB/cell

a b c (Å): 2.879 5.148 5.148
angles (deg): 112.86 90.00 90.00
Sites, in units of the cell vectors:
Mg: 0.500 0.000 0.000
Al: 0.000 0.000 0.500
Al: 0.000 0.500 0.000
Li: 0.500 0.500 0.500

=====

(2)
LiMgAl at its PBEsol-relaxed geometry. Source: Alexandria via LeMat-Bulk, functional SCAN.

Values from the calculation:
Space-group type = No. 216
Total magnetic moment = 0.000 μB/cell

a b c (Å): 4.595 4.595 4.595
angles (deg): 60.00 60.00 60.00
Sites, in units of the cell vectors:
Mg: 0.250 0.250 0.250
Al: 0.000 0.000 0.000
Li: 0.500 0.500 0.500

=====

(3)
LiMgAl2 at its PBEsol-relaxed geometry. Source: Alexandria via LeMat-Bulk, functional SCAN.

Values from the calculation:
Space-group type = No. 47
Total magnetic moment = 0.015 μB/cell

a b c (Å): 2.867 4.242 5.767
angles (deg): 90.00 90.00 90.00
Sites, in units of the cell vectors:
Mg: 0.500 0.500 0.500
Al: 0.000 0.000 0.758
Al: 0.000 0.000 0.242
Li: 0.500 0.500 0.000

=====

(4)
LiMgAl2 at its PBEsol-relaxed geometry. Source: Alexandria via LeMat-Bulk, functional SCAN.

Values from the calculation:
Space-group type = No. 8
Total magnetic moment = 0.006 μB/cell

a b c (Å): 2.907 4.972 5.180
angles (deg): 98.57 90.00 107.00
Sites, in units of the cell vectors:
Mg: 0.254 0.507 0.745
Al: 0.006 0.012 0.016
Al: 0.746 0.492 0.244
Li: 0.494 0.989 0.494

=====

(5)
LiMgAl2 at its PBEsol-relaxed geometry. Source: Alexandria via LeMat-Bulk, functional SCAN.

Values from the calculation:
Space-group type = No. 12
Total magnetic moment = 0.012 μB/cell

a b c (Å): 2.940 5.005 5.120
angles (deg): 99.88 90.00 107.08
Sites, in units of the cell vectors:
Mg: 0.000 0.000 0.500
Al: 0.751 0.503 0.761
Al: 0.249 0.497 0.239
Li: 0.500 0.000 0.000

=====

(6)
Li2MgAl at its PBEsol-relaxed geometry. Source: Alexandria via LeMat-Bulk, functional SCAN.

Values from the calculation:
Space-group type = No. 166
Total magnetic moment = 0.052 μB/cell

a b c (Å): 2.956 2.956 9.778
angles (deg): 81.31 81.31 60.00
Sites, in units of the cell vectors:
Mg: 0.500 0.500 0.500
Al: 0.000 0.000 0.000
Li: 0.254 0.254 0.237
Li: 0.746 0.746 0.763

=====

(7)
Li2MgAl at its PBEsol-relaxed geometry. Source: Alexandria via LeMat-Bulk, functional SCAN.

Values from the calculation:
Space-group type = No. 10
Total magnetic moment = 0.042 μB/cell

a b c (Å): 2.844 4.648 5.483
angles (deg): 90.00 100.29 90.00
Sites, in units of the cell vectors:
Mg: 0.500 0.500 0.000
Al: 0.000 0.500 0.500
Li: 0.736 0.000 0.731
Li: 0.264 0.000 0.269

=====

(8)
LiMgAl at its PBEsol-relaxed geometry. Source: Alexandria via LeMat-Bulk, functional SCAN.

Values from the calculation:
Space-group type = No. 156
Total magnetic moment = 0.000 μB/cell

a b c (Å): 2.926 4.608 4.608
angles (deg): 120.00 90.00 90.00
Sites, in units of the cell vectors:
Mg: 0.353 0.333 0.667
Al: 0.946 0.000 0.000
Li: 0.701 0.667 0.333

=====

(9)
LiMgAl2 at its PBEsol-relaxed geometry. Source: Alexandria via LeMat-Bulk, functional SCAN.

Values from the calculation:
Space-group type = No. 139
Total magnetic moment = 0.000 μB/cell

a b c (Å): 4.037 4.037 5.149
angles (deg): 113.08 113.08 90.00
Sites, in units of the cell vectors:
Mg: 0.500 0.500 0.000
Al: 0.750 0.250 0.500
Al: 0.250 0.750 0.500
Li: 0.000 0.000 0.000

=====

(10)
LiMgAl2 at its PBEsol-relaxed geometry. Source: Alexandria via LeMat-Bulk, functional SCAN.

Values from the calculation:
Space-group type = No. 99
Total magnetic moment = 0.000 μB/cell

a b c (Å): 2.879 2.879 8.665
angles (deg): 90.00 90.00 90.02
Sites, in units of the cell vectors:
Mg: 0.500 0.500 0.244
Al: 0.000 0.000 0.985
Al: 0.500 0.500 0.753
Li: 0.000 0.000 0.518

=====

(11)
Li2MgAl at its PBEsol-relaxed geometry. Source: Alexandria via LeMat-Bulk, functional SCAN.

Values from the calculation:
Space-group type = No. 6
Total magnetic moment = 0.043 μB/cell

a b c (Å): 2.841 4.485 5.661
angles (deg): 90.00 103.04 90.00
Sites, in units of the cell vectors:
Mg: 0.538 0.000 0.498
Al: 0.211 0.500 0.769
Li: 0.890 0.000 0.994
Li: 0.861 0.500 0.239

=====

(12)
Li2MgAl at its PBEsol-relaxed geometry. Source: Alexandria via LeMat-Bulk, functional SCAN.

Values from the calculation:
Space-group type = No. 123
Total magnetic moment = 0.006 μB/cell

a b c (Å): 3.032 3.032 7.508
angles (deg): 90.00 90.00 90.00
Sites, in units of the cell vectors:
Mg: 0.500 0.500 0.500
Al: 0.500 0.500 0.000
Li: 0.000 0.000 0.229
Li: 0.000 0.000 0.771

=====

(13)
LiMgAl at its PBEsol-relaxed geometry. Source: Alexandria via LeMat-Bulk, functional SCAN.

Values from the calculation:
Space-group type = No. 107
Total magnetic moment = 0.014 μB/cell

a b c (Å): 2.965 2.965 6.566
angles (deg): 103.05 103.05 90.00
Sites, in units of the cell vectors:
Mg: 0.338 0.338 0.675
Al: 0.006 0.006 0.012
Li: 0.656 0.656 0.312

=====

(14)
Li2MgAl at its PBEsol-relaxed geometry. Source: Alexandria via LeMat-Bulk, functional SCAN.

Values from the calculation:
Space-group type = No. 123
Total magnetic moment = 0.000 μB/cell

a b c (Å): 3.205 3.205 6.666
angles (deg): 90.00 90.00 90.00
Sites, in units of the cell vectors:
Mg: 0.500 0.500 0.000
Al: 0.500 0.500 0.500
Li: 0.000 0.000 0.729
Li: 0.000 0.000 0.271

=====

(15)
LiMgAl2 at its PBEsol-relaxed geometry. Source: Alexandria via LeMat-Bulk, functional SCAN.

Values from the calculation:
Space-group type = No. 25
Total magnetic moment = 0.023 μB/cell

a b c (Å): 2.960 4.714 5.043
angles (deg): 90.00 90.00 90.00
Sites, in units of the cell vectors:
Mg: 0.375 0.500 0.782
Al: 0.875 0.000 0.977
Al: 0.875 0.500 0.280
Li: 0.375 0.000 0.460

=====

(16)
LiMgAl2 at its PBEsol-relaxed geometry. Source: Alexandria via LeMat-Bulk, functional SCAN.

Values from the calculation:
Space-group type = No. 123
Total magnetic moment = 0.000 μB/cell

a b c (Å): 4.030 4.030 4.304
angles (deg): 90.00 90.00 90.00
Sites, in units of the cell vectors:
Mg: 0.000 0.000 0.500
Al: 0.000 0.500 0.000
Al: 0.500 0.000 0.000
Li: 0.500 0.500 0.500

=====

(17)
Li2MgAl at its PBEsol-relaxed geometry. Source: Alexandria via LeMat-Bulk, functional SCAN.

Values from the calculation:
Space-group type = No. 47
Total magnetic moment = 0.040 μB/cell

a b c (Å): 3.380 4.580 4.627
angles (deg): 90.00 90.00 90.00
Sites, in units of the cell vectors:
Mg: 0.500 0.000 0.500
Al: 0.000 0.500 0.500
Li: 0.000 0.000 0.000
Li: 0.500 0.500 0.000

=====

(18)
LiMgAl2 at its PBEsol-relaxed geometry. Source: Alexandria via LeMat-Bulk, functional SCAN.

Values from the calculation:
Space-group type = No. 119
Total magnetic moment = 0.000 μB/cell

a b c (Å): 4.212 4.212 4.953
angles (deg): 115.16 115.16 90.00
Sites, in units of the cell vectors:
Mg: 0.250 0.750 0.500
Al: 0.000 0.000 0.000
Al: 0.750 0.250 0.500
Li: 0.500 0.500 0.000

=====

(19)
LiMgAl at its PBEsol-relaxed geometry. Source: Alexandria via LeMat-Bulk, functional SCAN.

Values from the calculation:
Space-group type = No. 44
Total magnetic moment = 0.028 μB/cell

a b c (Å): 2.977 4.246 5.032
angles (deg): 114.95 107.21 90.00
Sites, in units of the cell vectors:
Mg: 0.336 0.336 0.672
Al: 0.001 0.001 0.002
Li: 0.663 0.663 0.326

=====

(20)
LiMgAl2 at its PBEsol-relaxed geometry. Source: Alexandria via LeMat-Bulk, functional SCAN.

Values from the calculation:
Space-group type = No. 166
Total magnetic moment = 0.011 μB/cell

a b c (Å): 2.951 2.951 9.535
angles (deg): 81.10 81.10 60.00
Sites, in units of the cell vectors:
Mg: 0.000 0.000 0.000
Al: 0.247 0.247 0.259
Al: 0.753 0.753 0.741
Li: 0.500 0.500 0.500

=====

(21)
Li2MgAl at its PBEsol-relaxed geometry. Source: Alexandria via LeMat-Bulk, functional SCAN.

Values from the calculation:
Space-group type = No. 25
Total magnetic moment = 0.047 μB/cell

a b c (Å): 2.850 4.354 5.818
angles (deg): 90.00 90.00 90.00
Sites, in units of the cell vectors:
Mg: 0.000 0.000 0.506
Al: 0.500 0.500 0.758
Li: 0.000 0.000 0.989
Li: 0.500 0.500 0.247

=====

(22)
LiMgAl2 at its PBEsol-relaxed geometry. Source: Alexandria via LeMat-Bulk, functional SCAN.

Values from the calculation:
Space-group type = No. 99
Total magnetic moment = 0.000 μB/cell

a b c (Å): 3.438 3.438 6.022
angles (deg): 90.00 90.00 90.00
Sites, in units of the cell vectors:
Mg: 0.500 0.500 0.749
Al: 0.000 0.000 0.018
Al: 0.500 0.500 0.248
Li: 0.000 0.000 0.485

=====

(23)
Li2MgAl at its PBEsol-relaxed geometry. Source: Alexandria via LeMat-Bulk, functional SCAN.

Values from the calculation:
Space-group type = No. 44
Total magnetic moment = 0.006 μB/cell

a b c (Å): 3.310 4.614 5.307
angles (deg): 115.77 108.17 90.00
Sites, in units of the cell vectors:
Mg: 0.503 0.503 0.007
Al: 0.739 0.239 0.477
Li: 0.998 0.998 0.997
Li: 0.260 0.760 0.519

=====

(24)
LiMgAlMo3O12 at its PBEsol-relaxed geometry. Source: Alexandria via LeMat-Bulk, functional SCAN.

Values from the calculation:
Space-group type = No. 2
Total magnetic moment = 0.004 μB/cell

a b c (Å): 6.650 6.805 11.328
angles (deg): 77.69 86.43 77.59
Sites, in units of the cell vectors:
Li: 0.674 0.438 0.585
Li: 0.326 0.562 0.415
Mg: 0.703 0.841 0.977
Mg: 0.297 0.159 0.023
Al: 0.309 0.767 0.628
Al: 0.691 0.233 0.372
Mo: 0.206 0.286 0.684
Mo: 0.794 0.714 0.316
Mo: 0.751 0.907 0.645
Mo: 0.249 0.093 0.355
Mo: 0.729 0.310 0.053
Mo: 0.271 0.690 0.947
O: 0.670 0.318 0.207
O: 0.330 0.682 0.793
O: 0.293 0.048 0.637
O: 0.707 0.952 0.363
O: 0.682 0.556 0.958
O: 0.318 0.444 0.042
O: 0.614 0.134 0.998
O: 0.386 0.866 0.002
O: 0.990 0.213 0.046
O: 0.010 0.787 0.954
O: 0.690 0.949 0.788
O: 0.310 0.051 0.212
O: 0.340 0.488 0.605
O: 0.660 0.512 0.395
O: 0.016 0.802 0.636
O: 0.984 0.198 0.364
O: 0.240 0.248 0.838
O: 0.760 0.752 0.162
O: 0.605 0.731 0.613
O: 0.395 0.269 0.387
O: 0.701 0.153 0.543
O: 0.299 0.847 0.457
O: 0.946 0.364 0.657
O: 0.054 0.636 0.343

=====

(25)
LiMgAl2N at its PBEsol-relaxed geometry. Source: Alexandria via LeMat-Bulk, functional SCAN.

Values from the calculation:
Space-group type = No. 123
Total magnetic moment = 0.000 μB/cell

a b c (Å): 3.751 5.284 5.284
angles (deg): 90.00 90.00 90.00
Sites, in units of the cell vectors:
Mg: 0.000 0.000 0.000
N: 0.500 0.000 0.000
Al: 0.000 0.000 0.500
Al: 0.000 0.500 0.000
Li: 0.500 0.500 0.500

=====

(26)
LiMgAlSb2 at its PBEsol-relaxed geometry. Source: Alexandria via LeMat-Bulk, functional SCAN.

Values from the calculation:
Space-group type = No. 123
Total magnetic moment = 0.001 μB/cell

a b c (Å): 4.774 5.287 5.287
angles (deg): 90.00 90.00 90.00
Sites, in units of the cell vectors:
Sb: 0.000 0.000 0.500
Sb: 0.000 0.500 0.000
Mg: 0.500 0.500 0.500
Al: 0.000 0.000 0.000
Li: 0.500 0.000 0.000

=====

(27)
LiMnAl at its PBEsol-relaxed geometry. Source: Alexandria via LeMat-Bulk, functional SCAN.

Values from the calculation:
Space-group type = No. 216
Total magnetic moment = 3.394 μB/cell

a b c (Å): 4.047 4.047 4.047
angles (deg): 60.00 60.00 60.00
Site moments in Bohr magnetons follow the coordinates.
Sites, in units of the cell vectors:
Mn: 0.000 0.000 0.000  3.87
Al: 0.500 0.500 0.500  -0.17
Li: 0.250 0.250 0.250  -0.06

=====

(28)
Li2MnAl at its PBEsol-relaxed geometry. Source: Alexandria via LeMat-Bulk, functional SCAN.

Values from the calculation:
Space-group type = No. 99
Total magnetic moment = 3.334 μB/cell

a b c (Å): 2.757 2.757 8.000
angles (deg): 90.00 90.00 90.00
Site moments in Bohr magnetons follow the coordinates.
Sites, in units of the cell vectors:
Mn: 0.000 0.000 0.519  3.45
Al: 0.500 0.500 0.727  -0.06
Li: 0.000 0.000 0.982  0.00
Li: 0.500 0.500 0.272  -0.02

=====

(29)
Li2MnAl at its PBEsol-relaxed geometry. Source: Alexandria via LeMat-Bulk, functional SCAN.

Values from the calculation:
Space-group type = No. 8
Total magnetic moment = 3.929 μB/cell

a b c (Å): 2.685 4.659 5.067
angles (deg): 96.59 90.00 106.75
Site moments in Bohr magnetons follow the coordinates.
Sites, in units of the cell vectors:
Mn: 0.493 0.987 0.471  3.89
Al: 0.754 0.507 0.276  -0.05
Li: 0.006 0.012 0.993  -0.02
Li: 0.247 0.494 0.759  0.00

=====

Ρ
In order: 2.01 1.41 2.02 2.00 2.00 1.49 1.52 1.80 2.03 1.97 1.54 1.57 1.77 1.58 2.01 2.02 1.51 2.02 1.77 2.00 1.50 1.99 1.58 3.65 1.57 3.76 3.15 2.62 2.64
Unit: g/cm3
Raw total energy
In order: -5.762 -4.719 -5.769 -5.752 -5.721 -4.396 -4.439 -5.094 -5.780 -5.726 -4.458 -4.438 -5.079 -4.445 -5.767 -5.778 -4.431 -5.750 -5.089 -5.709 -4.435 -5.732 -4.463 -13.284 -5.556 -17.589 -9.174 -7.792 -7.755
Unit: eV per atom